DFT (PBE-GGA) results for BaLa2TlO after structural relaxation.

a b c (Å): 5.1232 5.1232 5.4593
angles (deg): 90.00 90.00 90.00
Atoms (fractional coordinates):
Ba (0.0000, 0.0000, 0.0000)
La (0.0000, 0.5000, 0.5000)
La (0.5000, 0.0000, 0.5000)
Tl (0.5000, 0.5000, 0.0000)
O (0.0000, 0.0000, 0.5000)

Summary:
**Space-group type**: P4/mmm (123)
**E_form (uncorrected)**: -1252 meV/atom